! PBE BaNa2Zn2Bi2, optimized geometry; values from VASP
! formation energy from the elements	-0.375	eV/atom
! space group	R-3m (166)
! calculated density	6.028	g cm⁻³
&SYSTEM
  ibrav = 0, nat = 7, ntyp = 4
/
ATOMIC_SPECIES
Na 22.99 Na.upf
Ba 137.33 Ba.upf
Bi 208.98 Bi.upf
Zn 65.41 Zn.upf
CELL_PARAMETERS angstrom
-0.6921 -2.4545 -4.2706
2.1444 -4.4338 -0.6960
-7.0830 -6.5303 2.0043
ATOMIC_POSITIONS angstrom
Na -3.8857 -4.7412 0.4579
Ba 0.0000 0.0000 0.0000
Bi -4.3196 -10.1180 -2.1750
Zn -1.7518 -6.1142 -1.9955
Bi -1.3111 -3.3006 -0.7873
Zn -3.8790 -7.3044 -0.9667
Na -1.7450 -8.6774 -3.4202